(1)
Entry from the Alexandria database: an optimized crystal structure of BePAuS2 (PBE).

```
data_BePAuS2
_space_group_name_H-M_alt 'P 1'
_space_group_IT_number 1
_cell_length_a 4.958
_cell_length_b 4.958
_cell_length_c 4.603
_cell_angle_alpha 90.00
_cell_angle_beta 90.00
_cell_angle_gamma 90.00
loop_
_space_group_symop_operation_xyz
'x,y,z'
loop_
_atom_site_label
_atom_site_type_symbol
_atom_site_fract_x
_atom_site_fract_y
_atom_site_fract_z
P1 P 0.000 0.000 0.500
S1 S 0.000 0.500 0.000
S2 S 0.500 0.000 0.000
Au1 Au 0.000 0.000 0.000
Be1 Be 0.500 0.500 0.500
```

As for the total energy: -14.12 eV/f.u. Its space-group type is P4/mmm, No. 123. The formation energy from raw total energies is 1310 meV per atom. The value obtained for the theoretical density is 4.4 g/cm³.

***

(2)
Entry from the Alexandria database: an optimized crystal structure of KScPS2 (PBE).

```
data_KScPS2
_space_group_name_H-M_alt 'P 1'
_space_group_IT_number 1
_cell_length_a 5.176
_cell_length_b 5.176
_cell_length_c 4.955
_cell_angle_alpha 90.00
_cell_angle_beta 90.00
_cell_angle_gamma 90.00
loop_
_space_group_symop_operation_xyz
'x,y,z'
loop_
_atom_site_label
_atom_site_type_symbol
_atom_site_fract_x
_atom_site_fract_y
_atom_site_fract_z
Sc1 Sc 0.500 0.500 0.500
P1 P 0.000 0.000 0.500
K1 K 0.000 0.000 0.000
S1 S 0.000 0.500 0.000
S2 S 0.500 0.000 0.000
```

As for the total energy: -16.41 eV/f.u. Its space-group type is P4/mmm, No. 123. The formation energy from raw total energies is 937 meV per atom. The value obtained for the theoretical density is 2.2 g/cm³.

***

(3)
Entry from the Alexandria database: an optimized crystal structure of BeSN2F (PBE).

```
data_BeSN2F
_space_group_name_H-M_alt 'P 1'
_space_group_IT_number 1
_cell_length_a 3.284
_cell_length_b 3.284
_cell_length_c 5.549
_cell_angle_alpha 90.00
_cell_angle_beta 90.00
_cell_angle_gamma 90.00
loop_
_space_group_symop_operation_xyz
'x,y,z'
loop_
_atom_site_label
_atom_site_type_symbol
_atom_site_fract_x
_atom_site_fract_y
_atom_site_fract_z
Be1 Be 0.000 0.000 0.000
S1 S 0.000 0.000 0.500
N1 N 0.000 0.500 0.000
N2 N 0.500 0.000 0.000
F1 F 0.500 0.500 0.500
```

As for the total energy: -20.61 eV/f.u. Its space-group type is P4/mmm, No. 123. The formation energy from raw total energies is 1152 meV per atom. The value obtained for the theoretical density is 2.4 g/cm³.

***

(4)
Entry from the Alexandria database: an optimized crystal structure of Rb2In2Se (PBE).

```
data_Rb2In2Se
_space_group_name_H-M_alt 'P 1'
_space_group_IT_number 1
_cell_length_a 4.253
_cell_length_b 4.253
_cell_length_c 11.771
_cell_angle_alpha 79.59
_cell_angle_beta 79.59
_cell_angle_gamma 90.00
loop_
_space_group_symop_operation_xyz
'x,y,z'
loop_
_atom_site_label
_atom_site_type_symbol
_atom_site_fract_x
_atom_site_fract_y
_atom_site_fract_z
Se1 Se 0.000 0.000 0.000
Rb1 Rb 0.421 0.421 0.158
Rb2 Rb 0.579 0.579 0.842
In1 In 0.750 0.250 0.500
In2 In 0.250 0.750 0.500
```

As for the total energy: -12.80 eV/f.u. Its space-group type is I4/mmm, No. 139. The formation energy from raw total energies is -381 meV per atom. The value obtained for the theoretical density is 3.9 g/cm³.

***

(5)
Entry from the Alexandria database: an optimized crystal structure of Ce2PmNdBi5 (PBE).

```
data_Ce2PmNdBi5
_space_group_name_H-M_alt 'P 1'
_space_group_IT_number 1
_cell_length_a 5.573
_cell_length_b 5.573
_cell_length_c 12.072
_cell_angle_alpha 90.00
_cell_angle_beta 90.00
_cell_angle_gamma 90.00
loop_
_space_group_symop_operation_xyz
'x,y,z'
loop_
_atom_site_label
_atom_site_type_symbol
_atom_site_fract_x
_atom_site_fract_y
_atom_site_fract_z
Ce1 Ce 0.500 0.500 0.279
Ce2 Ce 0.500 0.500 0.721
Pm1 Pm 0.000 0.000 0.000
Nd1 Nd 0.000 0.000 0.500
Bi1 Bi 0.000 0.500 0.500
Bi2 Bi 0.500 0.000 0.500
Bi3 Bi 0.000 0.000 0.754
Bi4 Bi 0.000 0.000 0.246
Bi5 Bi 0.500 0.500 0.000
```

As for the total energy: -40.96 eV/f.u. The calculation puts the formation energy at -0.0187 eV/atom. Its space-group type is P4/mmm, No. 123. The value obtained for the theoretical density is 7.1 g/cm³.

***

(6)
Entry from the Alexandria database: an optimized crystal structure of La2AlV (PBE).

```
data_La2AlV
_space_group_name_H-M_alt 'P 1'
_space_group_IT_number 1
_cell_length_a 8.340
_cell_length_b 8.340
_cell_length_c 6.627
_cell_angle_alpha 51.00
_cell_angle_beta 51.00
_cell_angle_gamma 90.00
loop_
_space_group_symop_operation_xyz
'x,y,z'
loop_
_atom_site_label
_atom_site_type_symbol
_atom_site_fract_x
_atom_site_fract_y
_atom_site_fract_z
V1 V 0.000 0.000 0.000
V2 V 0.750 0.250 0.500
Al1 Al 0.500 0.500 0.000
Al2 Al 0.250 0.750 0.500
La1 La 0.663 0.125 0.250
La2 La 0.087 0.625 0.250
La3 La 0.375 0.337 0.750
La4 La 0.875 0.913 0.750
```

As for the total energy: -20.96 eV/f.u. The calculation puts the formation energy at 0.4387 eV/atom. Its space-group type is I-42d, No. 122. The value obtained for the theoretical density is 5.6 g/cm³.

***

(7)
Entry from the Alexandria database: an optimized crystal structure of ZnHgAs2 (PBE).

```
data_ZnHgAs2
_space_group_name_H-M_alt 'P 1'
_space_group_IT_number 1
_cell_length_a 6.250
_cell_length_b 3.788
_cell_length_c 3.788
_cell_angle_alpha 90.00
_cell_angle_beta 90.00
_cell_angle_gamma 90.00
loop_
_space_group_symop_operation_xyz
'x,y,z'
loop_
_atom_site_label
_atom_site_type_symbol
_atom_site_fract_x
_atom_site_fract_y
_atom_site_fract_z
As1 As 0.000 0.000 0.000
As2 As 0.000 0.500 0.500
Hg1 Hg 0.500 0.500 0.000
Zn1 Zn 0.500 0.000 0.500
```

As for the total energy: -9.66 eV/f.u. The calculation puts the formation energy at 0.3030 eV/atom. Its space-group type is P4/mmm, No. 123. The value obtained for the theoretical density is 7.7 g/cm³.

***

(8)
Entry from the Alexandria database: an optimized crystal structure of Ga2FeTc (PBE).

```
data_Ga2FeTc
_space_group_name_H-M_alt 'P 1'
_space_group_IT_number 1
_cell_length_a 4.260
_cell_length_b 4.260
_cell_length_c 4.260
_cell_angle_alpha 60.00
_cell_angle_beta 60.00
_cell_angle_gamma 60.00
loop_
_space_group_symop_operation_xyz
'x,y,z'
loop_
_atom_site_label
_atom_site_type_symbol
_atom_site_fract_x
_atom_site_fract_y
_atom_site_fract_z
Tc1 Tc 0.500 0.500 0.500
Ga1 Ga 0.250 0.250 0.250
Ga2 Ga 0.750 0.750 0.750
Fe1 Fe 0.000 0.000 0.000
```

As for the total energy: -25.02 eV/f.u. The calculation puts the formation energy at -0.0334 eV/atom. Its space-group type is Fm-3m, No. 225. The value obtained for the theoretical density is 8.9 g/cm³.

***

(9)
Entry from the Alexandria database: an optimized crystal structure of Ba2YCu3PbO7 (PBE).

```
data_Ba2YCu3PbO7
_space_group_name_H-M_alt 'P 1'
_space_group_IT_number 1
_cell_length_a 3.878
_cell_length_b 3.898
_cell_length_c 14.547
_cell_angle_alpha 97.08
_cell_angle_beta 97.66
_cell_angle_gamma 90.00
loop_
_space_group_symop_operation_xyz
'x,y,z'
loop_
_atom_site_label
_atom_site_type_symbol
_atom_site_fract_x
_atom_site_fract_y
_atom_site_fract_z
Ba1 Ba 0.429 0.435 0.859
Ba2 Ba 0.690 0.674 0.379
Y1 Y 0.559 0.555 0.118
Cu1 Cu 0.847 0.829 0.695
Cu2 Cu 0.002 0.002 0.004
Cu3 Cu 0.116 0.107 0.232
Pb1 Pb 0.287 0.294 0.574
O1 O 0.008 0.508 0.016
O2 O 0.508 0.008 0.016
O3 O 0.109 0.601 0.218
O4 O 0.609 0.101 0.218
O5 O 0.210 0.190 0.420
O6 O 0.910 0.930 0.821
O7 O 0.783 0.685 0.567
```

As for the total energy: -85.82 eV/f.u. Its space-group type is Cm, No. 8. The formation energy from raw total energies is -1772 meV per atom. The value obtained for the theoretical density is 6.7 g/cm³.

***

(10)
Entry from the Alexandria database: an optimized crystal structure of Ac2HoIr (PBE).

```
data_Ac2HoIr
_space_group_name_H-M_alt 'P 1'
_space_group_IT_number 1
_cell_length_a 4.089
_cell_length_b 4.089
_cell_length_c 11.211
_cell_angle_alpha 79.49
_cell_angle_beta 79.49
_cell_angle_gamma 60.00
loop_
_space_group_symop_operation_xyz
'x,y,z'
loop_
_atom_site_label
_atom_site_type_symbol
_atom_site_fract_x
_atom_site_fract_y
_atom_site_fract_z
Ac1 Ac 0.114 0.114 0.659
Ac2 Ac 0.886 0.886 0.341
Ir1 Ir 0.500 0.500 0.500
Ho1 Ho 0.000 0.000 0.000
```

As for the total energy: -21.79 eV/f.u. The calculation puts the formation energy at -0.0324 eV/atom. Its space-group type is R-3m, No. 166. The value obtained for the theoretical density is 8.5 g/cm³.

***

> The lowest theoretical density belongs to which entry?

KScPS2

***

> Look up the theoretical density of the first one.

4.4 g/cm³

***

> Look up the theoretical density of the first one.

4.4 g/cm³

***

Please write out number 7 again, unchanged.
Entry from the Alexandria database: an optimized crystal structure of ZnHgAs2 (PBE).

```
data_ZnHgAs2
_space_group_name_H-M_alt 'P 1'
_space_group_IT_number 1
_cell_length_a 6.250
_cell_length_b 3.788
_cell_length_c 3.788
_cell_angle_alpha 90.00
_cell_angle_beta 90.00
_cell_angle_gamma 90.00
loop_
_space_group_symop_operation_xyz
'x,y,z'
loop_
_atom_site_label
_atom_site_type_symbol
_atom_site_fract_x
_atom_site_fract_y
_atom_site_fract_z
As1 As 0.000 0.000 0.000
As2 As 0.000 0.500 0.500
Hg1 Hg 0.500 0.500 0.000
Zn1 Zn 0.500 0.000 0.500
```

As for the total energy: -9.66 eV/f.u. The calculation puts the formation energy at 0.3030 eV/atom. Its space-group type is P4/mmm, No. 123. The value obtained for the theoretical density is 7.7 g/cm³.